Compound: La2Pm5Dy
Source: the Alexandria database
Functional: PBE
Structure: optimized geometry

Cell: 5.744 6.683 16.356 Å, 90.00 90.00 115.45°
Element x y z (fractional)
La 0.780 0.560 0.370
La 0.780 0.560 0.130
La 0.220 0.440 0.630
La 0.220 0.440 0.870
Pm 0.922 0.844 0.908
Pm 0.922 0.844 0.592
Pm 0.382 0.765 0.449
Pm 0.382 0.765 0.051
Pm 0.537 0.073 0.250
Pm 0.463 0.927 0.750
Pm 0.618 0.235 0.551
Pm 0.618 0.235 0.949
Pm 0.078 0.156 0.092
Pm 0.078 0.156 0.408
Dy 0.742 0.484 0.750
Dy 0.258 0.516 0.250

For the distance to the lowest polymorph of the same formula, the calculation gives 0.037 eV/atom. For the energy relative to the elements, the calculation gives 0.124 eV/atom. As for the space group: Cmcm (63).

=====

Compound: La3Pm2Dy2
Source: the Alexandria database
Functional: PBE
Structure: optimized geometry

Cell: 3.559 8.709 9.128 Å, 118.07 101.24 90.00°
Element x y z (fractional)
La 0.000 0.500 0.000
La 0.214 0.795 0.427
La 0.786 0.205 0.573
Pm 0.564 0.911 0.129
Pm 0.436 0.089 0.871
Dy 0.855 0.671 0.710
Dy 0.145 0.329 0.290

For the distance to the lowest polymorph of the same formula, the calculation gives 0.087 eV/atom. For the energy relative to the elements, the calculation gives 0.110 eV/atom. As for the space group: C2/m (12).

=====

Compound: La3PmDy6
Source: the Alexandria database
Functional: PBE
Structure: optimized geometry

Cell: 6.375 11.080 11.080 Å, 120.03 90.00 90.00°
Element x y z (fractional)
La 0.465 0.939 0.711
La 0.965 0.711 0.939
La 0.071 0.388 0.612
La 0.571 0.612 0.388
La 0.965 0.061 0.289
La 0.465 0.289 0.061
Pm 0.125 0.194 0.806
Pm 0.625 0.806 0.194
Dy 0.047 0.714 0.623
Dy 0.547 0.623 0.714
Dy 0.373 0.531 0.952
Dy 0.873 0.952 0.531
Dy 0.374 0.962 0.038
Dy 0.646 0.276 0.724
Dy 0.146 0.724 0.276
Dy 0.874 0.038 0.962
Dy 0.373 0.048 0.469
Dy 0.873 0.469 0.048
Dy 0.047 0.377 0.286
Dy 0.547 0.286 0.377

For the distance to the lowest polymorph of the same formula, the calculation gives 0.000 eV/atom. For the energy relative to the elements, the calculation gives 0.148 eV/atom. As for the space group: Cmc2_1 (36).

=====

Compound: LaPmDy
Source: the Alexandria database
Functional: PBE
Structure: optimized geometry

Cell: 3.646 3.646 8.936 Å, 90.00 90.00 120.00°
Element x y z (fractional)
Pm 0.000 0.000 0.007
La 0.333 0.667 0.663
Dy 0.667 0.333 0.330

For the distance to the lowest polymorph of the same formula, the calculation gives 0.006 eV/atom. For the energy relative to the elements, the calculation gives 0.020 eV/atom. As for the space group: P3m1 (156).

=====

Compound: LaPm4Dy3
Source: the Alexandria database
Functional: PBE
Structure: optimized geometry

Cell: 3.495 11.794 8.986 Å, 131.00 101.21 90.00°
Element x y z (fractional)
Pm 0.634 0.384 0.267
Pm 0.366 0.616 0.733
Pm 0.366 0.117 0.732
Pm 0.634 0.883 0.268
Dy 0.000 0.500 0.000
Dy 0.759 0.759 0.517
Dy 0.241 0.241 0.483
La 0.500 0.000 0.000

For the distance to the lowest polymorph of the same formula, the calculation gives 0.097 eV/atom. For the energy relative to the elements, the calculation gives 0.127 eV/atom. As for the space group: Immm (71).

=====

Compound: La6Pm3Dy2
Source: the Alexandria database
Functional: PBE
Structure: optimized geometry

Cell: 3.687 3.687 32.963 Å, 86.79 86.79 60.00°
Element x y z (fractional)
La 0.909 0.909 0.274
La 0.091 0.091 0.726
La 0.818 0.818 0.547
La 0.182 0.182 0.453
La 0.636 0.636 0.091
La 0.364 0.364 0.909
Pm 0.000 0.000 0.000
Pm 0.727 0.727 0.818
Pm 0.273 0.273 0.182
Dy 0.546 0.546 0.363
Dy 0.454 0.454 0.637

For the energy relative to the elements, the calculation gives 0.014 eV/atom. As for the space group: R-3m (166).

=====

Compound: La2PmDy4
Source: the Alexandria database
Functional: PBE
Structure: optimized geometry

Cell: 8.194 7.829 7.829 Å, 90.00 90.03 90.03°
Site moments in Bohr magnetons follow the coordinates.
Element x y z (fractional)
Pm 0.500 0.500 0.000  0.07
Pm 0.000 0.500 0.000  0.01
Dy 0.281 0.252 0.248  0.03
Dy 0.719 0.252 0.248  0.03
Dy 0.281 0.748 0.752  0.03
Dy 0.719 0.748 0.752  0.03
Dy 0.719 0.748 0.248  0.03
Dy 0.719 0.252 0.752  0.03
Dy 0.281 0.748 0.248  0.03
Dy 0.281 0.252 0.752  0.03
La 0.000 0.000 0.000  0.01
La 0.000 0.000 0.500  0.01
La 0.000 0.500 0.500  0.01
La 0.500 0.000 0.500  0.05

For the distance to the lowest polymorph of the same formula, the calculation gives 0.073 eV/atom. For the energy relative to the elements, the calculation gives 0.315 eV/atom. As for the space group: P4/mmm (123).

=====

Compound: La5Pm4Dy3
Source: the Alexandria database
Functional: PBE
Structure: optimized geometry

Cell: 5.835 9.765 9.722 Å, 113.35 72.54 72.62°
Element x y z (fractional)
La 0.679 0.930 0.713
La 0.500 0.500 0.500
La 0.258 0.410 0.074
La 0.742 0.590 0.926
La 0.321 0.070 0.287
Pm 0.054 0.145 0.748
Pm 0.175 0.794 0.857
Pm 0.825 0.206 0.143
Pm 0.946 0.855 0.252
Dy 0.458 0.724 0.359
Dy 0.000 0.500 0.500
Dy 0.542 0.276 0.641

For the energy relative to the elements, the calculation gives 0.229 eV/atom. As for the space group: C2/m (12).

=====

What is the energy relative to the elements in the first record? 0.124 eV/atom